Entry from the Alexandria database: a relaxed RbLaZn2F8 crystal (GGA-PBE).

Cell lengths 8.4239, 8.4239, 8.4239 Å; angles 39.03, 39.03, 39.03 degrees
Last column: nearest neighbours and their distance in Å.
Fractional positions:
Rb1 0.0000 0.0000 0.0000  12 F 3.19-3.25
La1 0.5000 0.5000 0.5000  6 F 2.35
Zn1 0.2590 0.2590 0.2590  4 F 1.86-1.96
Zn2 0.7410 0.7410 0.7410  4 F 1.86-1.96
F1 0.0904 0.4594 0.7784  1 Zn 1.96
F2 0.2216 0.9096 0.5406  1 Zn 1.96
F3 0.3388 0.3388 0.3388  1 Zn 1.86
F4 0.4594 0.7784 0.0904  1 Zn 1.96
F5 0.5406 0.2216 0.9096  1 Zn 1.96
F6 0.6612 0.6612 0.6612  1 Zn 1.86
F7 0.7784 0.0904 0.4594  1 Zn 1.96
F8 0.9096 0.5406 0.2216  1 Zn 1.96

Raw total energy in eV per atom: -4.875
Size of the total moment in μB/cell: 0.1
ΔE_f (raw) in eV/atom: -2.92